Record 1
Entry from Alexandria via LeMat-Bulk: a geometry-optimized HgTe2 structure (PBE-GGA).

symmetry: P4/mmm, No. 123
energy relative to the elements, uncorrected: 0.303 eV/atom
calculated density: 7.36 g cm⁻³
excess energy over the best structure of this formula in the dataset: 280.3 meV per atom
DOS at the Fermi energy: 3.278 states/eV/f.u.
E_tot: -1.892 eV/atom

a = 5.849 Å, b = 5.849 Å, c = 3.008 Å
α = 90.00°, β = 90.00°, γ = 90.00°
Fractional positions:
Hg 0.000 0.000 0.000
Te 0.500 0.000 0.500
Te 0.000 0.500 0.500



Record 2
Entry from Alexandria via LeMat-Bulk: a geometry-optimized CeMg2IrO8 structure (PBE-GGA).

symmetry: Cmmm, No. 65
energy relative to the elements, uncorrected: -1.841 eV/atom
calculated density: 5.71 g cm⁻³
DOS at the Fermi energy: 6.628 states/eV/f.u.
E_tot: -6.645 eV/atom

a = 4.722 Å, b = 4.719 Å, c = 6.643 Å
α = 90.00°, β = 90.00°, γ = 91.69°
Fractional positions:
O 0.713 0.714 0.000
O 0.689 0.689 0.500
O 0.806 0.194 0.791
O 0.194 0.806 0.791
O 0.287 0.286 0.000
O 0.806 0.194 0.209
Mg 0.500 0.500 0.244
Ce 0.000 0.000 0.500
O 0.311 0.311 0.500
O 0.194 0.806 0.209
Ir 0.000 0.000 0.000
Mg 0.500 0.500 0.756



Record 3
Entry from Alexandria via LeMat-Bulk: a geometry-optimized Hg5Se2S2 structure (PBE-GGA).

symmetry: C2/m, No. 12
energy relative to the elements, uncorrected: -0.052 eV/atom
calculated density: 6.75 g cm⁻³
DOS at the Fermi energy: 1.971 states/eV/f.u.
E_tot: -1.911 eV/atom

a = 5.597 Å, b = 7.836 Å, c = 12.152 Å
α = 138.04°, β = 90.00°, γ = 110.92°
Fractional positions:
Se 0.344 0.688 0.468
Hg 0.000 0.000 0.000
Hg 0.375 0.750 0.229
S 0.111 0.223 0.930
Hg 0.170 0.339 0.529
S 0.889 0.777 0.070
Se 0.656 0.312 0.532
Hg 0.625 0.250 0.771
Hg 0.830 0.661 0.471



Record 4
Entry from Alexandria via LeMat-Bulk: a geometry-optimized KTcS2N structure (PBE-GGA).

symmetry: P4/mmm, No. 123
energy relative to the elements, uncorrected: -0.137 eV/atom
calculated density: 3.90 g cm⁻³
excess energy over the best structure of this formula in the dataset: 0.0 meV per atom
DOS at the Fermi energy: 1.317 states/eV/f.u.
E_tot: -5.746 eV/atom

a = 4.913 Å, b = 4.913 Å, c = 3.799 Å
α = 90.00°, β = 90.00°, γ = 90.00°
Fractional positions:
K 0.500 0.500 0.500
N 0.000 0.000 0.500
S 0.500 0.000 0.000
S 0.000 0.500 0.000
Tc 0.000 0.000 0.000



Record 5
Entry from Alexandria via LeMat-Bulk: a geometry-optimized La3Pm2Y4 structure (PBE-GGA).

formation enthalpy at 0 K: 0.093 eV/atom
symmetry: C2/c, No. 15
calculated density: 5.73 g cm⁻³
excess energy over the best structure of this formula in the dataset: 75.9 meV per atom
DOS at the Fermi energy: 14.817 states/eV/f.u.
E_tot: -5.478 eV/atom

a = 6.228 Å, b = 11.409 Å, c = 11.409 Å
α = 63.27°, β = 63.33°, γ = 63.33°
Fractional positions:
La 0.263 0.306 0.022
Y 0.911 0.842 0.611
Pm 0.429 0.255 0.521
Y 0.078 0.825 0.061
Y 0.589 0.389 0.158
Y 0.411 0.611 0.842
Pm 0.929 0.521 0.255
La 0.763 0.022 0.306
Y 0.089 0.158 0.389
La 0.737 0.694 0.978
Y 0.578 0.061 0.825
Pm 0.071 0.479 0.745
La 0.750 0.381 0.619
Y 0.422 0.939 0.175
La 0.250 0.619 0.381
Pm 0.571 0.745 0.479
La 0.237 0.978 0.694
Y 0.922 0.175 0.939



Record 6
Entry from Alexandria via LeMat-Bulk: a geometry-optimized Sm3YSn2C structure (PBE-GGA).

formation enthalpy at 0 K: -0.635 eV/atom
symmetry: Immm, No. 71
calculated density: 6.75 g cm⁻³
DOS at the Fermi energy: 0.829 states/eV/f.u.
E_tot: -6.042 eV/atom

a = 4.835 Å, b = 4.918 Å, c = 8.864 Å
α = 106.11°, β = 105.83°, γ = 90.00°
Fractional positions:
Sn 0.639 0.639 0.278
Y 0.500 0.000 0.000
Sm 0.000 0.500 0.000
Sn 0.361 0.361 0.722
C 0.000 0.000 0.000
Sm 0.161 0.161 0.321
Sm 0.839 0.839 0.679



Record 7
Entry from Alexandria via LeMat-Bulk: a geometry-optimized CaCd2Pd5 structure (PBE-GGA).

formation enthalpy at 0 K: -0.342 eV/atom
symmetry: Immm, No. 71
calculated density: 8.44 g cm⁻³
excess energy over the best structure of this formula in the dataset: 114.9 meV per atom
DOS at the Fermi energy: 1.562 states/eV/f.u.
E_tot: -4.066 eV/atom

a = 4.182 Å, b = 7.319 Å, c = 7.319 Å
α = 47.43°, β = 73.40°, γ = 73.40°
Fractional positions:
Cd 0.783 0.717 0.717
Pd 0.391 0.844 0.375
Cd 0.217 0.283 0.283
Pd 0.391 0.375 0.844
Pd 0.000 0.500 0.500
Pd 0.609 0.625 0.156
Pd 0.609 0.156 0.625
Ca 0.000 0.000 0.000



Record 8
Entry from Alexandria via LeMat-Bulk: a geometry-optimized Al2Sn2As structure (PBE-GGA).

formation enthalpy at 0 K: 0.143 eV/atom
symmetry: P4/mbm, No. 127
calculated density: 5.41 g cm⁻³
excess energy over the best structure of this formula in the dataset: 0.0 meV per atom
DOS at the Fermi energy: 3.100 states/eV/f.u.
E_tot: -3.885 eV/atom

a = 6.998 Å, b = 6.998 Å, c = 4.589 Å
α = 90.00°, β = 90.00°, γ = 90.00°
Fractional positions:
Al 0.636 0.136 0.000
Sn 0.323 0.177 0.500
Al 0.364 0.864 0.000
As 0.000 0.000 0.000
Al 0.136 0.364 0.000
Sn 0.823 0.323 0.500
Sn 0.677 0.823 0.500
Sn 0.177 0.677 0.500
As 0.500 0.500 0.000
Al 0.864 0.636 0.000



Record 9
Entry from Alexandria via LeMat-Bulk: a geometry-optimized La2TbEr5 structure (PBE-GGA).

formation enthalpy at 0 K: 0.036 eV/atom
symmetry: Pbam, No. 55
calculated density: 8.16 g cm⁻³
excess energy over the best structure of this formula in the dataset: 2.6 meV per atom
DOS at the Fermi energy: 13.166 states/eV/f.u.
E_tot: -4.626 eV/atom

a = 5.085 Å, b = 7.137 Å, c = 14.276 Å
α = 90.00°, β = 90.00°, γ = 90.00°
Fractional positions:
La 0.500 0.752 0.875
Er 0.000 0.998 0.250
Er 0.500 0.252 0.875
Er 0.000 0.500 0.500
Tb 0.000 0.000 0.500
Er 0.500 0.752 0.625
Er 0.000 0.498 0.250
Er 0.500 0.748 0.125
La 0.500 0.248 0.125
Er 0.000 0.000 0.000
Er 0.500 0.248 0.375
Er 0.000 0.502 0.750
Tb 0.000 0.500 0.000
La 0.500 0.252 0.625
La 0.500 0.748 0.375
Er 0.000 0.002 0.750



Record 10
Entry from Alexandria via LeMat-Bulk: a geometry-optimized SrFeSe2Br structure (PBE-GGA).

symmetry: P4/mmm, No. 123
energy relative to the elements, uncorrected: 0.355 eV/atom
calculated density: 3.31 g cm⁻³
excess energy over the best structure of this formula in the dataset: 1172.0 meV per atom
DOS at the Fermi energy: 10.409 states/eV/f.u.
E_tot: -3.402 eV/atom

a = 5.805 Å, b = 5.805 Å, c = 5.678 Å
α = 90.00°, β = 90.00°, γ = 90.00°
Fractional positions:
Se 0.000 0.500 0.000
Br 0.000 0.000 0.500
Se 0.500 0.000 0.000
Sr 0.000 0.000 0.000
Fe 0.500 0.500 0.500



Question: Which formula does entry 3 have?
Answer: Hg5Se2S2



Question: The lowest DOS at the Fermi energy belongs to which entry?
Answer: Sm3YSn2C



Repeat the eighth record exactly.
Entry from Alexandria via LeMat-Bulk: a geometry-optimized Al2Sn2As structure (PBE-GGA).

formation enthalpy at 0 K: 0.143 eV/atom
symmetry: P4/mbm, No. 127
calculated density: 5.41 g cm⁻³
excess energy over the best structure of this formula in the dataset: 0.0 meV per atom
DOS at the Fermi energy: 3.100 states/eV/f.u.
E_tot: -3.885 eV/atom

a = 6.998 Å, b = 6.998 Å, c = 4.589 Å
α = 90.00°, β = 90.00°, γ = 90.00°
Fractional positions:
Al 0.636 0.136 0.000
Sn 0.323 0.177 0.500
Al 0.364 0.864 0.000
As 0.000 0.000 0.000
Al 0.136 0.364 0.000
Sn 0.823 0.323 0.500
Sn 0.677 0.823 0.500
Sn 0.177 0.677 0.500
As 0.500 0.500 0.000
Al 0.864 0.636 0.000